#P
Here is crystalline Nb3Mo4W2 at its relaxed geometry from Alexandria. Energies are from GGA-PBE.

```
Nb3Mo4W2
1.0
4.530 0.000 0.000
-2.265 3.909 -0.343
0.000 0.735 8.358
Nb Mo W
3 4 2
direct
0.333 0.667 0.561
0.000 0.000 0.000
0.667 0.333 0.439
0.667 0.333 0.110
0.000 0.000 0.667
0.000 0.000 0.333
0.333 0.667 0.890
0.333 0.667 0.219
0.667 0.333 0.781
```

#Q
Here is crystalline Nb3Mo4W2 at its relaxed geometry from Alexandria. Energies are from GGA-PBE.

```
Nb3Mo4W2
1.0
-5.151 0.645 1.482
-3.795 -1.648 -6.881
-2.351 -7.641 0.742
Nb Mo W
6 8 4
direct
0.838 0.974 0.240
0.662 0.760 0.026
0.162 0.026 0.760
0.338 0.240 0.974
0.250 0.586 0.414
0.750 0.414 0.586
0.344 0.956 0.244
0.156 0.756 0.044
0.656 0.044 0.756
0.844 0.244 0.956
0.071 0.173 0.430
0.429 0.570 0.827
0.929 0.827 0.570
0.571 0.430 0.173
0.547 0.183 0.456
0.953 0.544 0.817
0.453 0.817 0.544
0.047 0.456 0.183
```

Of them, #P has the highest stability.

#P
Here is crystalline Nb4Mo3W2 at its relaxed geometry from Alexandria. Energies are from GGA-PBE.

```
Nb4Mo3W2
1.0
4.562 0.000 0.001
2.281 3.948 0.144
-0.001 -0.308 8.425
Nb Mo W
4 3 2
direct
0.667 0.667 0.889
0.000 0.000 0.331
0.000 0.000 0.669
0.333 0.333 0.111
0.333 0.333 0.450
0.000 0.000 0.000
0.667 0.667 0.550
0.333 0.333 0.773
0.667 0.667 0.227
```

#Q
Here is crystalline Nb4Mo3W2 at its relaxed geometry from Alexandria. Energies are from GGA-PBE.

```
Nb4Mo3W2
1.0
4.503 1.406 1.006
1.661 9.246 0.898
1.661 3.830 8.464
Nb Mo W
8 6 4
direct
0.406 0.930 0.185
0.094 0.815 0.070
0.594 0.070 0.815
0.906 0.185 0.930
0.076 0.159 0.400
0.424 0.600 0.841
0.924 0.841 0.600
0.576 0.400 0.159
0.740 0.041 0.295
0.760 0.705 0.959
0.260 0.959 0.705
0.240 0.295 0.041
0.250 0.617 0.383
0.750 0.383 0.617
0.403 0.269 0.514
0.097 0.486 0.731
0.597 0.731 0.486
0.903 0.514 0.269
```

Of them, #P has the highest stability.